## Mn2NiMoP (GGA-PBE)

Data for a geometry-optimized Mn2NiMoP structure.

```
data_Mn2NiMoP
_cell_length_a 4.5456
_cell_length_b 4.5456
_cell_length_c 4.5247
_cell_angle_alpha 90.00
_cell_angle_beta 90.00
_cell_angle_gamma 90.00
_symmetry_space_group_name_H-M 'P 4/m m m'
_symmetry_Int_Tables_number 123
_symmetry_space_group_name_Hall '-P 4 2'
loop_
_atom_site_label
_atom_site_type_symbol
_atom_site_fract_x
_atom_site_fract_y
_atom_site_fract_z
Mn1 Mn 0.0000 0.5000 0.0000
Ni1 Ni 0.0000 0.0000 0.5000
Mo1 Mo 0.0000 0.0000 0.0000
P1 P 0.5000 0.5000 0.5000
```

## Properties
Total moment, μB per cell: 4.72
Electronic total energy, eV per cell: -32.9
Formation energy from the elements, meV/atom: 1486